The following is a PBE calculation of an optimized crystal structure of Tl2SbW, from Alexandria.

The structure in extended XYZ format:
```
4
Lattice="1.6546 0.9553 10.6195 -1.6546 0.9553 10.6195 0.0000 -1.9105 10.6195" Properties=species:S:1:pos:R:3 pbc="T T T"
Tl 0.0000 0.0000 0.0000
Tl 0.0000 0.0000 7.6808
Sb 0.0000 0.0000 24.6427
W 0.0000 0.0000 15.9956
```

For the magnetization, the calculation gives 0.0 μB per cell. Its uncorrected formation energy is 0.490 eV per atom. Its space-group type is R3m, No. 160. As for the total energy: -4.9616 eV/atom. Its crystal system is trigonal. The offset from the most stable computed form is 0.00 eV/f.u.

The following is a PBE calculation of an optimized crystal structure of Zn3Ga2Ag2, from Alexandria.

The structure in extended XYZ format:
```
7
Lattice="2.8847 0.0000 0.0000 0.9676 6.2889 0.0000 0.0318 2.4126 6.5872" Properties=species:S:1:pos:R:3 pbc="T T T"
Zn 0.0000 0.0000 0.0000
Zn 1.3443 4.1584 4.9511
Zn 2.5398 4.5431 1.6361
Ga 1.1950 6.2441 3.0845
Ga 2.6891 2.4574 3.5027
Ag 1.1868 2.2156 1.0486
Ag 2.6973 6.4859 5.5385
```

For the magnetization, the calculation gives 0.0 μB per cell. Its space-group type is P-1, No. 2. As for the total energy: -2.2007 eV/atom. Its calculated formation energy is 24.8 meV per atom. Its crystal system is triclinic. The offset from the most stable computed form is 0.05 eV/f.u.

The following is a PBE calculation of an optimized crystal structure of Sb4PtSe, from Alexandria.

The structure in extended XYZ format:
```
6
Lattice="0.0000 4.2895 4.2895 4.2895 0.0000 4.2895 4.2895 4.2895 0.0000" Properties=species:S:1:pos:R:3 pbc="T T T"
Sb 3.2214 3.2214 3.2214
Sb 5.3576 5.3576 3.2214
Sb 5.3576 3.2214 5.3576
Sb 3.2214 5.3576 5.3576
Pt 6.4342 6.4342 6.4342
Se 0.0000 0.0000 0.0000
```

For the magnetization, the calculation gives 0.0 μB per cell. Its uncorrected formation energy is 0.695 eV per atom. Its space-group type is F-43m, No. 216. As for the total energy: -3.6410 eV/atom. Its crystal system is cubic.

The following is a PBE calculation of an optimized crystal structure of Zr6NiAu2, from Alexandria.

The structure in extended XYZ format:
```
9
Lattice="7.9942 0.0000 0.0000 -3.9971 6.9232 0.0000 0.0000 0.0000 3.3385" Properties=species:S:1:pos:R:3 pbc="T T T"
Zr -0.9964 1.7258 0.0000
Zr -2.4041 4.1640 1.6693
Zr 1.9927 0.0000 0.0000
Zr 1.5930 2.7592 1.6693
Zr 4.8081 0.0000 1.6693
Zr 3.0007 5.1974 0.0000
Ni 0.0000 0.0000 1.6693
Au 0.0000 4.6154 0.0000
Au 3.9971 2.3077 0.0000
```

For the magnetization, the calculation gives 0.0 μB per cell. Its space-group type is P-62m, No. 189. As for the total energy: -7.4091 eV/atom. Its calculated formation energy is -339.7 meV per atom. Its crystal system is hexagonal.

The following is a PBE calculation of an optimized crystal structure of CoNi2Br, from Alexandria.

The structure in extended XYZ format:
```
4
Lattice="3.5853 0.0000 0.0000 0.0000 3.7604 0.0000 0.0000 0.0000 3.8806" Properties=species:S:1:pos:R:3 pbc="T T T"
Co 0.0000 0.0000 0.0000
Ni 0.0000 1.8802 1.9403
Ni 1.7926 0.0000 1.9403
Br 1.7926 1.8802 0.0000
```

For the magnetization, the calculation gives 3.0 μB per cell. Its uncorrected formation energy is 0.684 eV per atom. Its space-group type is Pmmm, No. 47. As for the total energy: -4.4010 eV/atom. Its crystal system is orthorhombic. The offset from the most stable computed form is 1.19 eV/f.u.

The following is a PBE calculation of an optimized crystal structure of PrScRh, from Alexandria.

The structure in extended XYZ format:
```
6
Lattice="5.1886 0.0000 0.0000 0.0000 4.9149 0.0000 -1.3531 0.0000 5.8633" Properties=species:S:1:pos:R:3 pbc="T T T"
Pr 0.5946 1.2287 2.3323
Pr 3.2409 3.6862 3.5311
Sc 1.6728 3.6862 0.0710
Sc 2.1627 1.2287 5.7923
Rh -0.4675 1.2287 5.0582
Rh 4.3030 3.6862 0.8051
```

For the magnetization, the calculation gives 0.0 μB per cell. Its space-group type is P2_1/m, No. 11. As for the total energy: -6.6932 eV/atom. Its calculated formation energy is -539.1 meV per atom. Its crystal system is monoclinic. The offset from the most stable computed form is 0.00 eV/f.u.

The following is a PBE calculation of an optimized crystal structure of SrGa2Cu2, from Alexandria.

The structure in extended XYZ format:
```
10
Lattice="7.8900 0.0000 0.0000 0.0000 7.8900 0.0000 0.0000 0.0000 2.9588" Properties=species:S:1:pos:R:3 pbc="T T T"
Sr 0.0000 0.0000 0.0000
Sr 3.9450 3.9450 0.0000
Ga 1.0150 2.9300 0.0000
Ga 2.9300 6.8750 0.0000
Ga 4.9601 1.0150 0.0000
Ga 6.8750 4.9601 0.0000
Cu 1.2482 5.1932 1.4794
Cu 2.6968 1.2482 1.4794
Cu 5.1932 6.6418 1.4794
Cu 6.6418 2.6968 1.4794
```

For the magnetization, the calculation gives 0.0 μB per cell. Its space-group type is P4/mbm, No. 127. As for the total energy: -3.1713 eV/atom. Its calculated formation energy is 14.3 meV per atom. Its crystal system is tetragonal.

The following is a PBE calculation of an optimized crystal structure of Ag2GeAu8, from Alexandria.

The structure in extended XYZ format:
```
11
Lattice="4.1813 0.0000 0.0000 0.0000 4.1813 0.0000 0.0000 0.0000 11.6797" Properties=species:S:1:pos:R:3 pbc="T T T"
Ag 0.0000 0.0000 2.0621
Ag 0.0000 0.0000 9.6177
Ge 0.0000 0.0000 5.8399
Au 0.0000 2.0906 0.0000
Au 0.0000 2.0906 4.1651
Au 0.0000 2.0906 7.5146
Au 2.0906 0.0000 0.0000
Au 2.0906 0.0000 4.1651
Au 2.0906 0.0000 7.5146
Au 2.0906 2.0906 2.0596
Au 2.0906 2.0906 9.6201
```

For the magnetization, the calculation gives 0.0 μB per cell. Its space-group type is P4/mmm, No. 123. As for the total energy: -3.3210 eV/atom. Its calculated formation energy is 0.8 meV per atom. Its crystal system is tetragonal. The offset from the most stable computed form is 0.00 eV/f.u.

The following is a PBE calculation of an optimized crystal structure of CePaCuPt, from Alexandria.

The structure in extended XYZ format:
```
4
Lattice="0.0000 3.5005 3.5005 3.5005 0.0000 3.5005 3.5005 3.5005 0.0000" Properties=species:S:1:pos:R:3 pbc="T T T"
Ce 0.0000 0.0000 0.0000
Pa 3.5005 3.5005 3.5005
Cu 1.7503 1.7503 1.7503
Pt 5.2508 5.2508 5.2508
```

For the magnetization, the calculation gives 0.6 μB per cell. Its space-group type is F-43m, No. 216. As for the total energy: -6.7609 eV/atom. Its calculated formation energy is -369.2 meV per atom. Its crystal system is cubic.

The following is a PBE calculation of an optimized crystal structure of Tl4HgPb2, from Alexandria.

The structure in extended XYZ format:
```
14
Lattice="-4.7773 4.7773 4.8724 4.7773 -4.7773 4.8724 4.7773 4.7773 -4.8724" Properties=species:S:1:pos:R:3 pbc="T T T"
Tl 4.0106 3.1280 -2.0373
Tl 6.4242 0.7607 0.4107
Tl 0.7607 3.1303 -0.4107
Tl 0.7666 1.6493 2.8351
Tl 1.6493 -0.7666 6.9097
Tl 4.0165 1.6470 4.4617
Tl 3.1280 5.5439 2.0373
Tl -1.6470 4.0165 5.2831
Hg 0.0000 0.0000 0.0000
Hg 0.0000 4.7773 2.4362
Pb 2.3818 -1.2086 3.6626
Pb 3.5687 2.3954 1.2098
Pb 2.3954 5.9858 -1.2098
Pb 1.2086 2.3818 6.0822
```

For the magnetization, the calculation gives 0.0 μB per cell. Its space-group type is I-4, No. 82. As for the total energy: -2.4008 eV/atom. Its calculated formation energy is 54.0 meV per atom. Its crystal system is tetragonal.

The following is a PBE calculation of an optimized crystal structure of ScMo, from Alexandria.

The structure in extended XYZ format:
```
6
Lattice="5.9430 -1.6300 0.0000 5.9430 1.6300 0.0000 -1.8046 0.0000 6.0750" Properties=species:S:1:pos:R:3 pbc="T T T"
Sc 0.0000 0.0000 0.0000
Sc -0.5496 0.0000 3.1428
Sc 7.0592 0.0000 5.4275
Mo 2.6896 0.0000 3.4948
Mo 3.9228 0.0000 1.4189
Mo 7.4454 0.0000 1.9186
```

For the magnetization, the calculation gives 0.0 μB per cell. Its space-group type is Cm, No. 8. As for the total energy: -8.4379 eV/atom. Its calculated formation energy is 143.4 meV per atom. Its crystal system is monoclinic. The offset from the most stable computed form is 0.34 eV/f.u.

The following is a PBE calculation of an optimized crystal structure of Sc3Co, from Alexandria.

The structure in extended XYZ format:
```
4
Lattice="3.1673 0.0000 0.0000 0.0000 3.1810 0.0000 0.0000 0.0000 7.9909" Properties=species:S:1:pos:R:3 pbc="T T T"
Sc 0.0000 0.0000 0.0000
Sc 1.5837 1.5905 2.4811
Sc 1.5837 1.5905 5.5098
Co 0.0000 0.0000 3.9955
```

For the magnetization, the calculation gives 1.2 μB per cell. Its space-group type is Pmmm, No. 47. As for the total energy: -6.6725 eV/atom. Its calculated formation energy is -147.4 meV per atom. Its crystal system is orthorhombic.

The following is a PBE calculation of an optimized crystal structure of PrThSb2Pd2, from Alexandria.

The structure in extended XYZ format:
```
6
Lattice="4.5646 0.0000 0.0000 -2.2823 3.9530 0.0000 0.0000 0.0000 8.2723" Properties=species:S:1:pos:R:3 pbc="T T T"
Pr 0.0000 0.0000 0.0000
Th 0.0000 0.0000 4.1362
Sb 0.0000 2.6354 6.2963
Sb 2.2823 1.3177 1.9760
Pd 0.0000 2.6354 2.3304
Pd 2.2823 1.3177 5.9419
```

For the magnetization, the calculation gives 0.0 μB per cell. Its uncorrected formation energy is -1.010 eV per atom. Its space-group type is P-3m1, No. 164. As for the total energy: -6.1481 eV/atom. Its crystal system is trigonal.

The following is a PBE calculation of an optimized crystal structure of AcCd2Hg, from Alexandria.

The structure in extended XYZ format:
```
8
Lattice="7.4431 0.0000 0.0000 0.0000 2.5416 5.8461 0.0000 -2.5416 5.8461" Properties=species:S:1:pos:R:3 pbc="T T T"
Ac 0.0000 0.0000 0.0000
Ac 3.7216 0.0000 2.2176
Cd 0.0000 0.0000 3.4976
Cd 2.2742 0.0000 5.5013
Cd 3.7216 0.0000 10.4722
Cd 5.1689 0.0000 5.5013
Hg 1.4919 0.0000 8.3585
Hg 5.9513 0.0000 8.3585
```

For the magnetization, the calculation gives 0.0 μB per cell. Its space-group type is Amm2, No. 38. As for the total energy: -1.8970 eV/atom. Its calculated formation energy is -336.9 meV per atom. Its crystal system is orthorhombic. The offset from the most stable computed form is 0.00 eV/f.u.

The following is a PBE calculation of an optimized crystal structure of PaNb2Os, from Alexandria.

The structure in extended XYZ format:
```
4
Lattice="3.3387 0.0000 0.0000 0.0000 3.3387 0.0000 0.0000 0.0000 6.6923" Properties=species:S:1:pos:R:3 pbc="T T T"
Pa 0.0000 0.0000 0.0000
Nb 1.6694 1.6694 1.7813
Nb 1.6694 1.6694 4.9111
Os 0.0000 0.0000 3.3462
```

For the magnetization, the calculation gives 0.0 μB per cell. Its space-group type is P4/mmm, No. 123. As for the total energy: -10.1402 eV/atom. Its calculated formation energy is 76.1 meV per atom. Its crystal system is tetragonal. The offset from the most stable computed form is 0.56 eV/f.u.

The following is a PBE calculation of an optimized crystal structure of LiInP2, from Alexandria.

The structure in extended XYZ format:
```
8
Lattice="-3.0966 3.0966 4.9279 3.0966 -3.0966 4.9279 3.0966 3.0966 -4.9279" Properties=species:S:1:pos:R:3 pbc="T T T"
Li 0.0000 0.0000 0.0000
Li 0.0000 3.0966 2.4639
In 3.0966 0.0000 2.4639
In 0.0000 0.0000 4.9279
P 4.6449 1.4829 -1.2320
P 1.4829 1.5483 1.2320
P -1.5483 1.6137 3.6959
P 1.6137 1.5483 6.1598
```

For the magnetization, the calculation gives 0.0 μB per cell. Its space-group type is I-42d, No. 122. As for the total energy: -3.6683 eV/atom. Its calculated formation energy is 199.7 meV per atom. Its crystal system is tetragonal.

The following is a PBE calculation of an optimized crystal structure of KTaTi2Cl, from Alexandria.

The structure in extended XYZ format:
```
5
Lattice="4.7376 0.0000 0.0000 0.0000 4.7376 0.0000 0.0000 0.0000 4.7163" Properties=species:S:1:pos:R:3 pbc="T T T"
K 0.0000 0.0000 0.0000
Ta 2.3688 2.3688 0.0000
Ti 0.0000 2.3688 2.3582
Ti 2.3688 0.0000 2.3582
Cl 2.3688 2.3688 2.3582
```

For the magnetization, the calculation gives 0.8 μB per cell. Its uncorrected formation energy is 0.920 eV per atom. Its space-group type is P4/mmm, No. 123. As for the total energy: -5.1972 eV/atom. Its crystal system is tetragonal. The offset from the most stable computed form is 0.00 eV/f.u.

The following is a PBE calculation of an optimized crystal structure of TiGaAs2Se, from Alexandria.

The structure in extended XYZ format:
```
5
Lattice="4.7906 0.0000 0.0000 0.0000 4.7906 0.0000 0.0000 0.0000 4.9880" Properties=species:S:1:pos:R:3 pbc="T T T"
Ti 0.0000 0.0000 0.0000
Ga 2.3953 2.3953 2.4940
As 0.0000 2.3953 2.4940
As 2.3953 0.0000 2.4940
Se 2.3953 2.3953 0.0000
```

For the magnetization, the calculation gives 0.1 μB per cell. Its uncorrected formation energy is 0.638 eV per atom. Its space-group type is P4/mmm, No. 123. As for the total energy: -4.1034 eV/atom. Its crystal system is tetragonal. The offset from the most stable computed form is 3.47 eV/f.u.

The following is a PBE calculation of an optimized crystal structure of NaGa4Pd6, from Alexandria.

The structure in extended XYZ format:
```
11
Lattice="7.4201 0.0000 0.0000 -3.7101 6.4260 0.0000 0.0000 0.0000 3.8317" Properties=species:S:1:pos:R:3 pbc="T T T"
Na 0.0000 0.0000 0.0000
Ga 0.0000 4.2840 0.0000
Ga 2.1998 1.2701 1.9159
Ga 5.2203 1.2701 1.9159
Ga 3.7101 3.8859 1.9159
Pd 0.0000 2.5462 1.9159
Pd -1.5050 5.1529 1.9159
Pd 3.7101 0.4266 0.0000
Pd 2.2244 2.9997 0.0000
Pd 1.5050 5.1529 1.9159
Pd 5.1957 2.9997 0.0000
```

For the magnetization, the calculation gives 0.0 μB per cell. Its space-group type is P-6m2, No. 187. As for the total energy: -4.6654 eV/atom. Its calculated formation energy is -612.4 meV per atom. Its crystal system is hexagonal.

The following is a PBE calculation of an optimized crystal structure of Dy8AlIn2, from Alexandria.

The structure in extended XYZ format:
```
11
Lattice="9.1837 -2.6017 0.0000 9.1837 2.6017 0.0000 -1.6913 0.0000 6.6551" Properties=species:S:1:pos:R:3 pbc="T T T"
Dy -0.1397 0.0000 1.7657
Dy 2.3556 0.0000 5.2563
Dy 5.4135 0.0000 3.5796
Dy 7.4237 0.0000 0.2857
Dy 9.2524 0.0000 6.3694
Dy 11.2626 0.0000 3.0755
Dy 14.3205 0.0000 1.3988
Dy 16.8159 0.0000 4.8893
Al 8.3381 0.0000 3.3275
In 3.0276 0.0000 1.5431
In 13.6486 0.0000 5.1120
```

For the magnetization, the calculation gives 0.0 μB per cell. Its space-group type is C2/m, No. 12. As for the total energy: -4.3913 eV/atom. Its calculated formation energy is -206.2 meV per atom. Its crystal system is monoclinic.